This record from the Alexandria database describes a geometry-optimized SbIrW2 structure. The functional is PBEsol.

Properties
The value obtained for the volume is 203 Å³/cell. As for the electronic total energy: -10.0800 eV per atom.

Cell: 3.0103 3.0103 25.8842 Å, 90.00 90.00 120.00°
Closest atoms and distances in Å follow each position.
Fractional coordinates of all 12 atoms:
Sb: 0.0000 0.0000 0.0000  3 W 2.86, 3 Ir 2.88, 6 Sb 3.01
Sb: 0.3333 0.6667 0.6667  3 W 2.86, 3 Ir 2.88, 6 Sb 3.01
Sb: 0.6667 0.3333 0.3333  3 W 2.86, 3 Ir 2.88, 6 Sb 3.01
Ir: 0.0000 0.0000 0.2444  3 W 2.66, 3 Sb 2.88
Ir: 0.3333 0.6667 0.9110  3 W 2.66, 3 Sb 2.88
Ir: 0.6667 0.3333 0.5777  3 W 2.66, 3 Sb 2.88
W: 0.0000 0.0000 0.4997  3 Ir 2.66, 3 W 2.68
W: 0.0000 0.0000 0.7543  3 W 2.68, 3 Sb 2.86
W: 0.3333 0.6667 0.1664  3 Ir 2.66, 3 W 2.68
W: 0.3333 0.6667 0.4210  3 W 2.68, 3 Sb 2.86
W: 0.6667 0.3333 0.0877  3 W 2.68, 3 Sb 2.86
W: 0.6667 0.3333 0.8331  3 Ir 2.66, 3 W 2.68

=====

This record from the Alexandria database describes a geometry-optimized Sb2IrW structure. The functional is PBEsol.

Properties
The value obtained for the volume is 145 Å³/cell. As for the electronic total energy: -7.5552 eV per atom.

Cell: 3.9249 3.9249 9.4378 Å, 90.00 90.00 90.00°
Closest atoms and distances in Å follow each position.
Fractional coordinates of all 8 atoms:
Sb: 0.0000 0.0000 0.0000  4 W 2.78, 4 Sb 3.07, 4 Ir 3.07
Sb: 0.0000 0.5000 0.2500  4 Ir 2.78, 4 W 3.07, 4 Sb 3.07
Sb: 0.5000 0.0000 0.7500  4 Ir 2.78, 4 W 3.07, 4 Sb 3.07
Sb: 0.5000 0.5000 0.5000  4 W 2.78, 4 Sb 3.07, 4 Ir 3.07
Ir: 0.0000 0.5000 0.7500  8 Sb 2.78-3.07, 4 W 3.07
Ir: 0.5000 0.0000 0.2500  8 Sb 2.78-3.07, 4 W 3.07
W: 0.0000 0.0000 0.5000  8 Sb 2.78-3.07, 4 Ir 3.07
W: 0.5000 0.5000 0.0000  8 Sb 2.78-3.07, 4 Ir 3.07

=====

This record from the Alexandria database describes a geometry-optimized YZrSb2Ir structure. The functional is PBEsol.

Properties
The value obtained for the volume is 143 Å³/cell. As for the electronic total energy: -5.8178 eV per atom.

Cell: 5.2642 5.2642 5.1722 Å, 90.00 90.00 90.00°
Closest atoms and distances in Å follow each position.
Fractional coordinates of all 5 atoms:
Y: 0.0000 0.0000 0.0000  2 Zr 2.59
Zr: 0.0000 0.0000 0.5000  2 Y 2.59, 4 Sb 2.63
Sb: 0.0000 0.5000 0.5000  2 Zr 2.63
Sb: 0.5000 0.0000 0.5000  2 Zr 2.63
Ir: 0.5000 0.5000 0.0000  8 Sb 3.69, 4 Y 3.72

=====

This record from the Alexandria database describes a geometry-optimized Zr2SbIr structure. The functional is PBEsol.

Properties
The value obtained for the volume is 75 Å³/cell. As for the electronic total energy: -8.7275 eV per atom.

Cell: 4.2200 4.2200 4.2232 Å, 90.00 90.00 90.00°
Closest atoms and distances in Å follow each position.
Fractional coordinates of all 4 atoms:
Zr: 0.0000 0.5000 0.0000  4 Zr 2.98, 4 Sb 2.99, 4 Ir 2.99
Zr: 0.5000 0.0000 0.0000  4 Zr 2.98, 4 Sb 2.99, 4 Ir 2.99
Sb: 0.0000 0.0000 0.5000  4 Ir 2.98, 8 Zr 2.99
Ir: 0.5000 0.5000 0.5000  4 Sb 2.98, 8 Zr 2.99

=====

This record from the Alexandria database describes a geometry-optimized ZrSbIr2 structure. The functional is PBEsol.

Properties
The value obtained for the volume is 71 Å³/cell. As for the electronic total energy: -8.6175 eV per atom.

Cell: 3.2205 4.0235 5.4900 Å, 90.00 90.00 90.00°
Closest atoms and distances in Å follow each position.
Fractional coordinates of all 4 atoms:
Zr: 0.0000 0.0000 0.0000  6 Ir 2.74-2.76
Sb: 0.5000 0.5000 0.6645  6 Ir 2.67-2.82
Ir: 0.0000 0.0000 0.5015  4 Sb 2.73, 2 Zr 2.74-2.75
Ir: 0.5000 0.5000 0.1777  2 Sb 2.67-2.82, 4 Zr 2.76

=====

This record from the Alexandria database describes a geometry-optimized Zr2SbIr structure. The functional is PBEsol.

Properties
The value obtained for the volume is 155 Å³/cell. As for the electronic total energy: -8.7831 eV per atom.

Cell: 3.6308 4.3158 9.9018 Å, 90.00 90.00 90.00°
Closest atoms and distances in Å follow each position.
Fractional coordinates of all 8 atoms:
Zr: 0.0000 0.0000 0.0000  4 Sb 2.86, 2 Ir 2.92, 2 Zr 3.15
Zr: 0.0000 0.5000 0.2317  4 Ir 2.82, 2 Sb 3.08, 2 Zr 3.15
Zr: 0.5000 0.0000 0.7317  4 Ir 2.82, 2 Sb 3.08, 2 Zr 3.15
Zr: 0.5000 0.5000 0.5000  4 Sb 2.86, 2 Ir 2.92, 2 Zr 3.15
Sb: 0.0000 0.0000 0.4538  6 Zr 2.86-3.08, 2 Ir 2.86
Sb: 0.5000 0.5000 0.9538  6 Zr 2.86-3.08, 2 Ir 2.86
Ir: 0.0000 0.5000 0.7309  6 Zr 2.82-2.92, 2 Sb 2.86
Ir: 0.5000 0.0000 0.2309  6 Zr 2.82-2.92, 2 Sb 2.86

=====

This record from the Alexandria database describes a geometry-optimized ZrSbIr structure. The functional is PBEsol.

Properties
The value obtained for the volume is 116 Å³/cell. As for the electronic total energy: -8.2026 eV per atom.

Cell: 3.3386 3.3386 10.3770 Å, 90.00 90.00 90.00°
Closest atoms and distances in Å follow each position.
Fractional coordinates of all 6 atoms:
Zr: 0.0000 0.0000 0.0000  4 Ir 2.77
Zr: 0.5000 0.5000 0.5000  4 Ir 2.77
Sb: 0.0000 0.0000 0.3023  4 Ir 2.91, 5 Zr 3.13-3.14
Sb: 0.5000 0.5000 0.8023  4 Ir 2.91, 5 Zr 3.13-3.14
Ir: 0.0000 0.0000 0.6391  4 Zr 2.77, 4 Sb 2.91
Ir: 0.5000 0.5000 0.1391  4 Zr 2.77, 4 Sb 2.91

=====

This record from the Alexandria database describes a geometry-optimized Zr2SbIr structure. The functional is PBEsol.

Properties
The value obtained for the volume is 155 Å³/cell. As for the electronic total energy: -8.7486 eV per atom.

Cell: 4.2510 4.5224 8.0654 Å, 90.00 90.00 90.00°
Closest atoms and distances in Å follow each position.
Fractional coordinates of all 8 atoms:
Zr: 0.0000 0.0000 0.2220  4 Ir 2.78-2.88, 2 Sb 3.09, 4 Zr 3.10
Zr: 0.0000 0.0000 0.7780  4 Ir 2.78-2.88, 2 Sb 3.09, 4 Zr 3.10
Zr: 0.5000 0.5000 0.2220  4 Ir 2.78-2.88, 2 Sb 3.09, 4 Zr 3.10
Zr: 0.5000 0.5000 0.7780  4 Ir 2.78-2.88, 2 Sb 3.09, 4 Zr 3.10
Sb: 0.0000 0.5000 0.5000  8 Zr 3.09-3.18, 4 Sb 3.10
Sb: 0.5000 0.0000 0.5000  8 Zr 3.09-3.18, 4 Sb 3.10
Ir: 0.0000 0.5000 0.0000  8 Zr 2.78-2.88, 4 Ir 3.10
Ir: 0.5000 0.0000 0.0000  8 Zr 2.78-2.88, 4 Ir 3.10

=====

This record from the Alexandria database describes a geometry-optimized Sc3Ir structure. The functional is PBEsol.

Properties
The value obtained for the volume is 75 Å³/cell. Its energy of formation is -395 meV per atom.

Cell: 4.5141 4.5141 3.6683 Å, 90.00 90.00 90.00°
Closest atoms and distances in Å follow each position.
Fractional coordinates of all 4 atoms:
Sc: 0.0000 0.0000 0.0000  8 Sc 2.91, 4 Ir 3.19
Sc: 0.0000 0.5000 0.5000  4 Ir 2.91, 8 Sc 2.91-3.19
Sc: 0.5000 0.0000 0.5000  4 Ir 2.91, 8 Sc 2.91-3.19
Ir: 0.5000 0.5000 0.0000  12 Sc 2.91-3.19

=====

This record from the Alexandria database describes a geometry-optimized Sc3Ir structure. The functional is PBEsol.

Properties
The value obtained for the volume is 330 Å³/cell. Its energy of formation is -602 meV per atom.

Cell: 6.6676 8.2575 5.9991 Å, 90.00 90.00 90.00°
Closest atoms and distances in Å follow each position.
Fractional coordinates of all 16 atoms:
Sc: 0.0285 0.2500 0.1009  2 Ir 2.57-2.70
Sc: 0.1820 0.0547 0.6809  3 Ir 2.66-2.86
Sc: 0.1820 0.4453 0.6809  3 Ir 2.66-2.86
Sc: 0.3180 0.5547 0.1809  3 Ir 2.66-2.86
Sc: 0.3180 0.9453 0.1809  3 Ir 2.66-2.86
Sc: 0.4715 0.7500 0.6009  2 Ir 2.57-2.70
Sc: 0.5285 0.2500 0.3991  2 Ir 2.57-2.70
Sc: 0.6820 0.0547 0.8191  3 Ir 2.66-2.86
Sc: 0.6820 0.4453 0.8191  3 Ir 2.66-2.86
Sc: 0.8180 0.5547 0.3191  3 Ir 2.66-2.86
Sc: 0.8180 0.9453 0.3191  3 Ir 2.66-2.86
Sc: 0.9715 0.7500 0.8991  2 Ir 2.57-2.70
Ir: 0.1028 0.7500 0.4735  8 Sc 2.57-2.86
Ir: 0.3972 0.2500 0.9735  8 Sc 2.57-2.86
Ir: 0.6028 0.7500 0.0265  8 Sc 2.57-2.86
Ir: 0.8972 0.2500 0.5265  8 Sc 2.57-2.86